Entry from the Alexandria database: a geometry-optimized Zr2InGa3 structure (PBE-GGA).

Raw total energy ... -5.125 eV per atom
SG ... No. 15
Formation energy from the elements ... -0.306 eV per atom

a b c (Å): 5.658 9.671 5.628
angles (deg): 113.85 120.18 90.00
Atoms (fractional coordinates):
In (0.767, 0.750, 0.000)
Ga (0.780, 0.414, 0.708)
Zr (0.747, 0.580, 0.360)
Zr (0.613, 0.080, 0.360)
In (0.233, 0.250, 0.000)
Ga (0.722, 0.250, 0.000)
Zr (0.253, 0.420, 0.640)
Zr (0.387, 0.920, 0.640)
Ga (0.072, 0.086, 0.292)
Ga (0.928, 0.914, 0.708)
Ga (0.278, 0.750, 0.000)
Ga (0.220, 0.586, 0.292)